# LiCrPO4 | Alexandria via LeMat-Bulk | PBE+U | optimized geometry
# * VASP energy: -7.103 eV/atom
# * energy relative to the lowest polymorph listed for this composition: 2.83 kJ/mol of atoms
data_LiCrPO4
_symmetry_space_group_name_H-M 'C 1 2/c 1'
_symmetry_Int_Tables_number 15
_symmetry_space_group_name_Hall '-C 2yc'
_cell_length_a 7.215
_cell_length_b 7.129
_cell_length_c 16.157
_cell_angle_alpha 90.00
_cell_angle_beta 92.15
_cell_angle_gamma 90.00
loop_
_atom_site_label
_atom_site_type_symbol
_atom_site_fract_x
_atom_site_fract_y
_atom_site_fract_z
Li1 Li 0.164 0.154 0.440
Cr1 Cr 0.249 0.469 0.749
P1 P 0.007 0.221 0.630
O1 O 0.081 0.229 0.543
O2 O 0.102 0.034 0.854
O3 O 0.105 0.397 0.849
O4 O 0.184 0.217 0.693